[1]
CeCr5P3 | PBE | relaxed

Output
**ΔE_f**: -569 meV per atom
**Crystal system**: orthorhombic

```
data_CeCr5P3
_chemical_formula_sum 'Ce2 Cr10 P6'
_cell_length_a 6.2296
_cell_length_b 6.2296
_cell_length_c 11.2612
_cell_angle_alpha 90.00
_cell_angle_beta 90.00
_cell_angle_gamma 144.52
_space_group_name_H-M_alt 'P 1'
_space_group_IT_number 1
loop_
_space_group_symop_operation_xyz
'x,y,z'
loop_
_atom_site_label
_atom_site_fract_x
_atom_site_fract_y
_atom_site_fract_z
Ce1 0.1612 0.8388 0.7500
Ce2 0.8388 0.1612 0.2500
Cr1 0.0000 0.0000 0.0000
Cr2 0.0000 0.0000 0.5000
Cr3 0.1881 0.8119 0.0535
Cr4 0.1881 0.8119 0.4465
Cr5 0.4437 0.5563 0.6519
Cr6 0.4437 0.5563 0.8481
Cr7 0.5563 0.4437 0.1519
Cr8 0.5563 0.4437 0.3481
Cr9 0.8119 0.1881 0.5535
Cr10 0.8119 0.1881 0.9465
P1 0.1301 0.8699 0.2500
P2 0.3807 0.6193 0.0562
P3 0.3807 0.6193 0.4438
P4 0.6193 0.3807 0.5562
P5 0.6193 0.3807 0.9438
P6 0.8699 0.1301 0.7500
```

---

[2]
CeCrP2 | PBE | relaxed

Output
**ΔE_f**: -715 meV per atom
**Crystal system**: tetragonal

```
data_CeCrP2
_chemical_formula_sum 'Ce1 Cr1 P2'
_cell_length_a 5.6639
_cell_length_b 5.6639
_cell_length_c 5.6639
_cell_angle_alpha 139.37
_cell_angle_beta 139.37
_cell_angle_gamma 58.81
_space_group_name_H-M_alt 'P 1'
_space_group_IT_number 1
loop_
_space_group_symop_operation_xyz
'x,y,z'
loop_
_atom_site_label
_atom_site_fract_x
_atom_site_fract_y
_atom_site_fract_z
Ce1 0.0000 0.0000 0.0000
Cr1 0.2500 0.7500 0.5000
P1 0.3785 0.3785 0.0000
P2 0.6215 0.6215 0.0000
```

---

[3]
CeCrP2 | PBE | relaxed

Output
**ΔE_f**: -912 meV per atom
**Crystal system**: trigonal

```
data_CeCrP2
_chemical_formula_sum 'Ce1 Cr1 P2'
_cell_length_a 6.0864
_cell_length_b 6.0864
_cell_length_c 6.0864
_cell_angle_alpha 36.64
_cell_angle_beta 36.64
_cell_angle_gamma 36.64
_space_group_name_H-M_alt 'P 1'
_space_group_IT_number 1
loop_
_space_group_symop_operation_xyz
'x,y,z'
loop_
_atom_site_label
_atom_site_fract_x
_atom_site_fract_y
_atom_site_fract_z
Ce1 0.0000 0.0000 0.0000
Cr1 0.5000 0.5000 0.5000
P1 0.2310 0.2310 0.2310
P2 0.7690 0.7690 0.7690
```

---

[4]
CeCrP2Rh5 | PBE | relaxed

Output
**ΔE_f**: -521 meV per atom
**Crystal system**: tetragonal

```
data_CeCrP2Rh5
_chemical_formula_sum 'Ce1 Cr1 P2 Rh5'
_cell_length_a 3.9805
_cell_length_b 3.9805
_cell_length_c 9.9796
_cell_angle_alpha 90.00
_cell_angle_beta 90.00
_cell_angle_gamma 90.00
_space_group_name_H-M_alt 'P 1'
_space_group_IT_number 1
loop_
_space_group_symop_operation_xyz
'x,y,z'
loop_
_atom_site_label
_atom_site_fract_x
_atom_site_fract_y
_atom_site_fract_z
Ce1 0.0000 0.0000 0.0000
Cr1 0.0000 0.0000 0.5000
P1 0.5000 0.5000 0.2295
P2 0.5000 0.5000 0.7705
Rh1 0.0000 0.5000 0.3427
Rh2 0.0000 0.5000 0.6573
Rh3 0.5000 0.0000 0.3427
Rh4 0.5000 0.0000 0.6573
Rh5 0.5000 0.5000 0.0000
```

---

[5]
CePaCr2S8 | PBE | relaxed

Output
**Formation energy from raw total energies**: -93.2 kJ per mole of atoms
**Crystal system**: tetragonal

```
data_CePaCr2S8
_chemical_formula_sum 'Ce1 Pa1 Cr2 S8'
_cell_length_a 7.9794
_cell_length_b 7.9794
_cell_length_c 7.9794
_cell_angle_alpha 134.25
_cell_angle_beta 134.25
_cell_angle_gamma 66.69
_space_group_name_H-M_alt 'P 1'
_space_group_IT_number 1
loop_
_space_group_symop_operation_xyz
'x,y,z'
loop_
_atom_site_label
_atom_site_fract_x
_atom_site_fract_y
_atom_site_fract_z
Ce1 0.0000 0.0000 0.0000
Pa1 0.2500 0.7500 0.5000
Cr1 0.5000 0.5000 0.0000
Cr2 0.7500 0.2500 0.5000
S1 0.9998 0.0658 0.4024
S2 0.2547 0.6755 0.1029
S3 0.3245 0.4274 0.5792
S4 0.4026 0.0002 0.0660
S5 0.5726 0.1518 0.8971
S6 0.6634 0.5974 0.5976
S7 0.8482 0.7453 0.4208
S8 0.9342 0.3366 0.9340
```

---

[6]
CePa2CrS8 | PBE | relaxed

Output
**Formation energy from raw total energies**: -129.9 kJ per mole of atoms
**Crystal system**: monoclinic

```
data_CePa2CrS8
_chemical_formula_sum 'Ce1 Pa2 Cr1 S8'
_cell_length_a 6.0535
_cell_length_b 8.0874
_cell_length_c 6.1923
_cell_angle_alpha 90.00
_cell_angle_beta 92.01
_cell_angle_gamma 90.00
_space_group_name_H-M_alt 'P 1'
_space_group_IT_number 1
loop_
_space_group_symop_operation_xyz
'x,y,z'
loop_
_atom_site_label
_atom_site_fract_x
_atom_site_fract_y
_atom_site_fract_z
Ce1 0.0000 0.0000 0.0000
Pa1 0.5000 0.2599 0.5000
Pa2 0.5000 0.7401 0.5000
Cr1 0.0000 0.5000 0.0000
S1 0.2106 0.2778 0.1711
S2 0.2106 0.7222 0.1711
S3 0.2808 0.5000 0.6838
S4 0.2855 0.0000 0.6573
S5 0.7145 0.0000 0.3427
S6 0.7192 0.5000 0.3162
S7 0.7894 0.2778 0.8289
S8 0.7894 0.7222 0.8289
```

---

Copy entry 5 word for word.
CePaCr2S8 | PBE | relaxed

Output
**Formation energy from raw total energies**: -93.2 kJ per mole of atoms
**Crystal system**: tetragonal

```
data_CePaCr2S8
_chemical_formula_sum 'Ce1 Pa1 Cr2 S8'
_cell_length_a 7.9794
_cell_length_b 7.9794
_cell_length_c 7.9794
_cell_angle_alpha 134.25
_cell_angle_beta 134.25
_cell_angle_gamma 66.69
_space_group_name_H-M_alt 'P 1'
_space_group_IT_number 1
loop_
_space_group_symop_operation_xyz
'x,y,z'
loop_
_atom_site_label
_atom_site_fract_x
_atom_site_fract_y
_atom_site_fract_z
Ce1 0.0000 0.0000 0.0000
Pa1 0.2500 0.7500 0.5000
Cr1 0.5000 0.5000 0.0000
Cr2 0.7500 0.2500 0.5000
S1 0.9998 0.0658 0.4024
S2 0.2547 0.6755 0.1029
S3 0.3245 0.4274 0.5792
S4 0.4026 0.0002 0.0660
S5 0.5726 0.1518 0.8971
S6 0.6634 0.5974 0.5976
S7 0.8482 0.7453 0.4208
S8 0.9342 0.3366 0.9340
```